Record 1
A relaxed structure of Zr4Nb2In3N3. Source: OQMD, functional PBE.

Output
* theoretical density: 7.7 g cm⁻³
* total DFT energy (no corrections): -8.194 eV per atom

The structure in CIF format:
```
data_Zr4Nb2In3N3
_cell_length_a 9.7549
_cell_length_b 5.6411
_cell_length_c 15.1018
_cell_angle_alpha 90.00
_cell_angle_beta 102.45
_cell_angle_gamma 90.00
_space_group_name_H-M_alt 'C 1 2/c 1'
_space_group_IT_number 15
loop_
_space_group_symop_operation_xyz
'x,y,z'
'-x,-y,-z'
'-x,y,-z+1/2'
'x,-y,z+1/2'
'x+1/2,y+1/2,z'
'-x+1/2,-y+1/2,-z'
'-x+1/2,y+1/2,-z+1/2'
'x+1/2,-y+1/2,z+1/2'
loop_
_atom_site_label
_atom_site_fract_x
_atom_site_fract_y
_atom_site_fract_z
Zr1 0.1118 0.0846 0.0861
Zr2 0.2219 0.0828 0.4139
Nb1 0.0559 0.4176 0.9207
In1 0.0000 0.0993 0.7500
In2 0.1584 0.4257 0.2505
N1 0.0846 0.2469 0.5000
N2 0.2500 0.2500 0.0000
```



Record 2
A relaxed structure of InNi3N5. Source: OQMD, functional PBE.

Output
* theoretical density: 6.5 g cm⁻³
* total DFT energy (no corrections): -6.204 eV per atom

The structure in CIF format:
```
data_InNi3N5
_cell_length_a 5.2140
_cell_length_b 5.2140
_cell_length_c 3.8923
_cell_angle_alpha 90.00
_cell_angle_beta 90.00
_cell_angle_gamma 120.00
_space_group_name_H-M_alt 'P 6/m m m'
_space_group_IT_number 191
_space_group_name_Hall '-P 6 2'
loop_
_atom_site_label
_atom_site_fract_x
_atom_site_fract_y
_atom_site_fract_z
In1 0.0000 0.0000 0.0000
Ni1 0.0000 0.5000 0.5000
N1 0.0000 0.0000 0.5000
N2 0.3333 0.6667 0.1638
```



Record 3
A relaxed structure of InNiW4N2. Source: OQMD, functional PBE.

Output
* theoretical density: 14.8 g cm⁻³
* total DFT energy (no corrections): -9.361 eV per atom

The structure in CIF format:
```
data_InNiW4N2
_cell_length_a 2.8505
_cell_length_b 2.8505
_cell_length_c 14.9814
_cell_angle_alpha 90.00
_cell_angle_beta 90.00
_cell_angle_gamma 120.00
_space_group_name_H-M_alt 'P -6 m 2'
_space_group_IT_number 187
_space_group_name_Hall 'P -6 2'
loop_
_atom_site_label
_atom_site_fract_x
_atom_site_fract_y
_atom_site_fract_z
In1 0.0000 0.0000 0.0000
Ni1 0.3333 0.6667 0.5000
W1 0.0000 0.0000 0.3586
W2 0.3333 0.6667 0.1655
N1 0.6667 0.3333 0.2601
```



Record 4
A relaxed structure of Zr4InNiN2. Source: OQMD, functional PBE.

Output
* theoretical density: 7.2 g cm⁻³
* total DFT energy (no corrections): -8.358 eV per atom

The structure in CIF format:
```
data_Zr4InNiN2
_cell_length_a 3.2832
_cell_length_b 3.2832
_cell_length_c 13.9631
_cell_angle_alpha 90.00
_cell_angle_beta 90.00
_cell_angle_gamma 120.00
_space_group_name_H-M_alt 'P -6 m 2'
_space_group_IT_number 187
_space_group_name_Hall 'P -6 2'
loop_
_atom_site_label
_atom_site_fract_x
_atom_site_fract_y
_atom_site_fract_z
Zr1 0.0000 0.0000 0.1388
Zr2 0.6667 0.3333 0.3226
In1 0.0000 0.0000 0.5000
Ni1 0.6667 0.3333 0.0000
N1 0.3333 0.6667 0.2326
```



Record 5
A relaxed structure of InOsNO. Source: OQMD, functional PBE.

Output
* theoretical density: 10.5 g cm⁻³
* excess energy over the best structure of this formula in the dataset: 94.2 meV per atom

The structure in CIF format:
```
data_InOsNO
_cell_length_a 5.6966
_cell_length_b 7.4385
_cell_length_c 4.9911
_cell_angle_alpha 90.00
_cell_angle_beta 90.00
_cell_angle_gamma 90.00
_space_group_name_H-M_alt 'P c a 21'
_space_group_IT_number 29
loop_
_space_group_symop_operation_xyz
'x,y,z'
'-x,-y,z+1/2'
'-x+1/2,y,z+1/2'
'x+1/2,-y,z'
loop_
_atom_site_label
_atom_site_fract_x
_atom_site_fract_y
_atom_site_fract_z
In1 0.0417 0.1459 0.0000
Os1 0.1405 0.6569 0.0500
N1 0.0698 0.1460 0.4566
O1 0.1207 0.4920 0.7292
```



Record 6
A relaxed structure of InOsNO. Source: OQMD, functional PBE.

Output
* theoretical density: 9.8 g cm⁻³
* excess energy over the best structure of this formula in the dataset: 0.0 meV per atom

The structure in CIF format:
```
data_InOsNO
_cell_length_a 2.9344
_cell_length_b 5.3525
_cell_length_c 7.2066
_cell_angle_alpha 90.00
_cell_angle_beta 90.00
_cell_angle_gamma 90.00
_space_group_name_H-M_alt 'P m c 21'
_space_group_IT_number 26
loop_
_space_group_symop_operation_xyz
'x,y,z'
'-x,-y,z+1/2'
'-x,y,z'
'x,-y,z+1/2'
loop_
_atom_site_label
_atom_site_fract_x
_atom_site_fract_y
_atom_site_fract_z
In1 0.0000 0.1140 0.0000
Os1 0.5000 0.4700 0.6245
N1 0.0000 0.2226 0.6843
O1 0.5000 0.4035 0.3672
```



Record 7
A relaxed structure of InOsNO. Source: OQMD, functional PBE.

Output
* theoretical density: 11.0 g cm⁻³
* excess energy over the best structure of this formula in the dataset: 669.7 meV per atom

The structure in CIF format:
```
data_InOsNO
_cell_length_a 4.2864
_cell_length_b 4.2864
_cell_length_c 5.5011
_cell_angle_alpha 90.00
_cell_angle_beta 90.00
_cell_angle_gamma 90.00
_space_group_name_H-M_alt 'P 4/n m m'
_space_group_IT_number 129
loop_
_space_group_symop_operation_xyz
'x,y,z'
'-x,-y,-z'
'-y+1/2,x,z'
'y+1/2,-x,-z'
'-x+1/2,-y+1/2,z'
'x+1/2,y+1/2,-z'
'y,-x+1/2,z'
'-y,x+1/2,-z'
'x+1/2,-y,-z'
'-x+1/2,y,z'
'-y,-x,-z'
'y,x,z'
'-x,y+1/2,-z'
'x,-y+1/2,z'
'y+1/2,x+1/2,-z'
'-y+1/2,-x+1/2,z'
loop_
_atom_site_label
_atom_site_fract_x
_atom_site_fract_y
_atom_site_fract_z
In1 0.2500 0.7500 0.0000
Os1 0.2500 0.2500 0.4685
N1 0.2500 0.2500 0.8198
O1 0.2500 0.7500 0.5000
```



Record 8
A relaxed structure of InOsNO. Source: OQMD, functional PBE.

Output
* theoretical density: 10.8 g cm⁻³
* excess energy over the best structure of this formula in the dataset: 9.4 meV per atom

The structure in CIF format:
```
data_InOsNO
_cell_length_a 3.8296
_cell_length_b 3.8296
_cell_length_c 7.0484
_cell_angle_alpha 90.00
_cell_angle_beta 90.00
_cell_angle_gamma 90.00
_space_group_name_H-M_alt 'P 4/n m m'
_space_group_IT_number 129
loop_
_space_group_symop_operation_xyz
'x,y,z'
'-x,-y,-z'
'-y+1/2,x,z'
'y+1/2,-x,-z'
'-x+1/2,-y+1/2,z'
'x+1/2,y+1/2,-z'
'y,-x+1/2,z'
'-y,x+1/2,-z'
'x+1/2,-y,-z'
'-x+1/2,y,z'
'-y,-x,-z'
'y,x,z'
'-x,y+1/2,-z'
'x,-y+1/2,z'
'y+1/2,x+1/2,-z'
'-y+1/2,-x+1/2,z'
loop_
_atom_site_label
_atom_site_fract_x
_atom_site_fract_y
_atom_site_fract_z
In1 0.2500 0.2500 0.1471
Os1 0.2500 0.7500 0.5000
N1 0.2500 0.2500 0.6266
O1 0.2500 0.7500 0.0000
```



Record 9
A relaxed structure of InOsNO. Source: OQMD, functional PBE.

Output
* theoretical density: 9.1 g cm⁻³
* excess energy over the best structure of this formula in the dataset: 612.0 meV per atom

The structure in CIF format:
```
data_InOsNO
_cell_length_a 5.3208
_cell_length_b 6.5409
_cell_length_c 7.0075
_cell_angle_alpha 90.00
_cell_angle_beta 90.00
_cell_angle_gamma 90.00
_space_group_name_H-M_alt 'C m m e'
_space_group_IT_number 67
_space_group_name_Hall '-C 2a 2'
loop_
_atom_site_label
_atom_site_fract_x
_atom_site_fract_y
_atom_site_fract_z
In1 0.2500 0.0000 0.0000
Os1 0.0000 0.2500 0.4532
N1 0.0000 0.2500 0.1882
O1 0.2500 0.0000 0.5000
```



Record 10
A relaxed structure of InOsNO. Source: OQMD, functional PBE.

Output
* theoretical density: 9.1 g cm⁻³
* excess energy over the best structure of this formula in the dataset: 38.8 meV per atom

The structure in CIF format:
```
data_InOsNO
_cell_length_a 2.9279
_cell_length_b 5.7147
_cell_length_c 7.2895
_cell_angle_alpha 90.00
_cell_angle_beta 90.00
_cell_angle_gamma 90.00
_space_group_name_H-M_alt 'P m c 21'
_space_group_IT_number 26
loop_
_space_group_symop_operation_xyz
'x,y,z'
'-x,-y,z+1/2'
'-x,y,z'
'x,-y,z+1/2'
loop_
_atom_site_label
_atom_site_fract_x
_atom_site_fract_y
_atom_site_fract_z
In1 0.0000 0.1216 0.0000
Os1 0.5000 0.4693 0.6108
N1 0.5000 0.4263 0.3573
O1 0.0000 0.2223 0.6731
```



Record 11
A relaxed structure of InPdNO. Source: OQMD, functional PBE.

Output
* theoretical density: 7.0 g cm⁻³
* excess energy over the best structure of this formula in the dataset: 232.2 meV per atom

The structure in CIF format:
```
data_InPdNO
_cell_length_a 3.2931
_cell_length_b 6.1135
_cell_length_c 5.9026
_cell_angle_alpha 90.00
_cell_angle_beta 90.00
_cell_angle_gamma 90.00
_space_group_name_H-M_alt 'P m c 21'
_space_group_IT_number 26
loop_
_space_group_symop_operation_xyz
'x,y,z'
'-x,-y,z+1/2'
'-x,y,z'
'x,-y,z+1/2'
loop_
_atom_site_label
_atom_site_fract_x
_atom_site_fract_y
_atom_site_fract_z
In1 0.0000 0.1993 0.0000
Pd1 0.5000 0.2544 0.5039
N1 0.0000 0.1316 0.3580
O1 0.5000 0.3716 0.8686
```



Record 12
A relaxed structure of InPdNO. Source: OQMD, functional PBE.

Output
* theoretical density: 7.5 g cm⁻³
* excess energy over the best structure of this formula in the dataset: 289.2 meV per atom

The structure in CIF format:
```
data_InPdNO
_cell_length_a 6.2931
_cell_length_b 6.8039
_cell_length_c 5.1627
_cell_angle_alpha 90.00
_cell_angle_beta 90.00
_cell_angle_gamma 90.00
_space_group_name_H-M_alt 'P c a 21'
_space_group_IT_number 29
loop_
_space_group_symop_operation_xyz
'x,y,z'
'-x,-y,z+1/2'
'-x+1/2,y,z+1/2'
'x+1/2,-y,z'
loop_
_atom_site_label
_atom_site_fract_x
_atom_site_fract_y
_atom_site_fract_z
In1 0.0849 0.1482 0.0000
Pd1 0.1648 0.6763 0.0387
N1 0.0794 0.1286 0.5766
O1 0.0413 0.5877 0.6839
```